Record 1
Here is a geometry-optimized Rb2CaSiF6 structure from Alexandria via LeMat-Bulk. Energies are from GGA-PBE.

Computed properties:
Mass density ... 3.3 Mg/m³
Crystal system ... cubic
Spin magnetization ... 0.000 μB per atom
D(E_F) ... 0.0 states/eV per cell
Final energy ... -4.88 eV per atom

Unit cell a=8.911 b=8.911 c=8.911 alpha=90.00 beta=90.00 gamma=90.00
Space group Fm-3m (No. 225)
Unique sites:
Rb  0.250  0.250  0.250
Ca  0.000  0.000  0.000
Si  0.000  0.000  0.500
F  0.000  0.000  0.254

Record 2
Here is a geometry-optimized RbCaSi2F structure from Alexandria via LeMat-Bulk. Energies are from GGA-PBE.

Computed properties:
Mass density ... 2.1 Mg/m³
Crystal system ... tetragonal
Spin magnetization ... 0.000 μB per atom
D(E_F) ... 5.0 states/eV per cell
Final energy ... -2.73 eV per atom

Unit cell a=5.813 b=5.813 c=4.648 alpha=90.00 beta=90.00 gamma=90.00
Space group P4/mmm (No. 123)
Unique sites:
Rb  0.000  0.000  0.000
Ca  0.500  0.500  0.500
Si  0.000  0.500  0.000
F  0.000  0.000  0.500

Record 3
Here is a geometry-optimized RbCaTlSiTeF structure from Alexandria via LeMat-Bulk. Energies are from GGA-PBE.

Computed properties:
Mass density ... 4.1 Mg/m³
Crystal system ... monoclinic
Spin magnetization ... 0.000 μB per atom
D(E_F) ... 3.4 states/eV per cell
ΔE to the lowest computed polymorph ... 88.4 meV per atom
Final energy ... -3.66 eV per atom

Unit cell a=13.230 b=3.720 c=9.148 alpha=90.00 beta=114.31 gamma=90.00
Space group Cm (No. 8)
Unique sites:
Rb  0.000  0.000  0.000
Ca  0.083  0.000  0.444
Tl  0.349  0.000  0.577
Si  0.068  0.500  0.703
Te  0.218  0.000  0.848
F  0.050  0.500  0.283

Record 4
Here is a geometry-optimized RbCaTlSiTeF structure from Alexandria via LeMat-Bulk. Energies are from GGA-PBE.

Computed properties:
Mass density ... 4.3 Mg/m³
Crystal system ... triclinic
Spin magnetization ... 0.000 μB per atom
D(E_F) ... 3.5 states/eV per cell
ΔE to the lowest computed polymorph ... 119.7 meV per atom
Final energy ... -3.62 eV per atom

Unit cell a=4.702 b=6.394 c=7.197 alpha=66.59 beta=87.68 gamma=80.95
Space group P1 (No. 1)
Unique sites:
Rb  0.000  0.000  0.000
Ca  0.481  0.911  0.509
Tl  0.516  0.496  0.028
Si  0.029  0.619  0.752
Te  0.355  0.410  0.555
F  0.490  0.025  0.189

Record 5
Here is a geometry-optimized RbCaTlSiTeF structure from Alexandria via LeMat-Bulk. Energies are from GGA-PBE.

Computed properties:
Mass density ... 4.8 Mg/m³
Crystal system ... triclinic
Spin magnetization ... 0.000 μB per atom
D(E_F) ... 2.0 states/eV per cell
ΔE to the lowest computed polymorph ... 70.4 meV per atom
Final energy ... -3.67 eV per atom

Unit cell a=3.785 b=5.935 c=7.857 alpha=101.18 beta=90.74 gamma=90.05
Space group P1 (No. 1)
Unique sites:
Rb  0.000  0.000  0.000
Ca  0.992  0.121  0.495
Tl  0.486  0.574  0.285
Si  0.995  0.629  0.579
Te  0.502  0.466  0.792
F  0.488  0.080  0.325

Record 6
Here is a geometry-optimized RbCaTlSiTeF structure from Alexandria via LeMat-Bulk. Energies are from GGA-PBE.

Computed properties:
Mass density ... 4.3 Mg/m³
Crystal system ... triclinic
Spin magnetization ... 0.000 μB per atom
D(E_F) ... 0.7 states/eV per cell
ΔE to the lowest computed polymorph ... 80.7 meV per atom
Final energy ... -3.66 eV per atom

Unit cell a=3.790 b=6.427 c=8.652 alpha=91.58 beta=102.53 gamma=107.08
Space group P1 (No. 1)
Unique sites:
Rb  0.000  0.000  0.000
Ca  0.112  0.620  0.605
Tl  0.808  0.085  0.536
Si  0.518  0.755  0.284
Te  0.849  0.451  0.248
F  0.702  0.661  0.746

Record 7
Here is a geometry-optimized RbCaTlSiTeF structure from Alexandria via LeMat-Bulk. Energies are from GGA-PBE.

Computed properties:
Mass density ... 4.2 Mg/m³
Crystal system ... monoclinic
Spin magnetization ... 0.000 μB per atom
D(E_F) ... 3.2 states/eV per cell
ΔE to the lowest computed polymorph ... 43.2 meV per atom
Final energy ... -3.70 eV per atom

Unit cell a=14.644 b=3.895 c=7.192 alpha=90.00 beta=104.94 gamma=90.00
Space group Cm (No. 8)
Unique sites:
Rb  0.000  0.000  0.000
Ca  0.322  0.000  0.505
Tl  0.262  0.000  0.927
Si  0.218  0.500  0.159
Te  0.134  0.500  0.425
F  0.396  0.500  0.614

Record 8
Here is a geometry-optimized RbCaTlSiTeF structure from Alexandria via LeMat-Bulk. Energies are from GGA-PBE.

Computed properties:
Mass density ... 4.3 Mg/m³
Crystal system ... monoclinic
Spin magnetization ... 0.000 μB per atom
D(E_F) ... 4.7 states/eV per cell
ΔE to the lowest computed polymorph ... 77.7 meV per atom
Final energy ... -3.67 eV per atom

Unit cell a=13.124 b=3.809 c=8.080 alpha=90.00 beta=107.13 gamma=90.00
Space group Cm (No. 8)
Unique sites:
Rb  0.000  0.000  0.000
Ca  0.053  0.500  0.547
Tl  0.297  0.000  0.617
Si  0.193  0.500  0.319
Te  0.327  0.000  0.247
F  0.059  0.000  0.690